# 1
# GaSi3Ir (PBE, relaxed)
# - Uncorrected formation energy: 2.16 eV/f.u.
# - Energy: -5.1990 eV/atom
# - Relative energy among the computed polymorphs: 0 meV per atom
# - DOS(E_F): 3.82 states/eV per cell
data_GaSi3Ir
_cell_length_a 4.6818
_cell_length_b 4.6818
_cell_length_c 4.6818
_cell_angle_alpha 90.00
_cell_angle_beta 90.00
_cell_angle_gamma 90.00
_symmetry_space_group_name_H-M 'P m -3 m'
_symmetry_Int_Tables_number 221
_symmetry_space_group_name_Hall '-P 4 2 3'
loop_
_atom_site_label
_atom_site_type_symbol
_atom_site_fract_x
_atom_site_fract_y
_atom_site_fract_z
_atom_site_occupancy
Ga1 Ga 0.0000 0.0000 0.0000 1
Si1 Si 0.0000 0.5000 0.5000 1
Ir1 Ir 0.5000 0.5000 0.5000 1

# 2
# TbPm2Sm6Ho (PBE, relaxed)
# - Energy: -4.5863 eV/atom
# - E_form: 116 meV per atom
# - DOS(E_F): 56.71 states/eV per cell
data_TbPm2Sm6Ho
_cell_length_a 9.1574
_cell_length_b 15.2914
_cell_length_c 9.7572
_cell_angle_alpha 90.00
_cell_angle_beta 98.33
_cell_angle_gamma 90.00
_symmetry_space_group_name_H-M 'C 1 2/c 1'
_symmetry_Int_Tables_number 15
loop_
_symmetry_equiv_pos_as_xyz
'x,y,z'
'-x,-y,-z'
'-x,y,-z+1/2'
'x,-y,z+1/2'
'x+1/2,y+1/2,z'
'-x+1/2,-y+1/2,-z'
'-x+1/2,y+1/2,-z+1/2'
'x+1/2,-y+1/2,z+1/2'
loop_
_atom_site_label
_atom_site_type_symbol
_atom_site_fract_x
_atom_site_fract_y
_atom_site_fract_z
_atom_site_occupancy
Tb1 Tb 0.0000 0.0209 0.2500 1
Pm1 Pm 0.2475 0.0512 0.5426 1
Sm1 Sm 0.0623 0.1856 0.9444 1
Sm2 Sm 0.1031 0.3945 0.1197 1
Sm3 Sm 0.2050 0.2224 0.3120 1
Ho1 Ho 0.0000 0.4083 0.7500 1

# 3
# CaS2I (PBE, relaxed)
# - Uncorrected formation energy: -1.37 eV/f.u.
# - Energy: -3.2949 eV/atom
# - Relative energy among the computed polymorphs: 425 meV per atom
# - DOS(E_F): 8.06 states/eV per cell
data_CaS2I
_cell_length_a 5.1809
_cell_length_b 5.1809
_cell_length_c 13.0079
_cell_angle_alpha 90.00
_cell_angle_beta 90.00
_cell_angle_gamma 120.00
_symmetry_space_group_name_H-M 'R -3 m'
_symmetry_Int_Tables_number 166
_symmetry_space_group_name_Hall '-R 3 2"'
loop_
_atom_site_label
_atom_site_type_symbol
_atom_site_fract_x
_atom_site_fract_y
_atom_site_fract_z
_atom_site_occupancy
Ca1 Ca 0.0000 0.0000 0.0000 1
S1 S 0.0000 0.0000 0.2112 1
I1 I 0.0000 0.0000 0.5000 1

# 4
# Re2Te2Pd (PBE, relaxed)
# - Uncorrected formation energy: 2.86 eV/f.u.
# - Energy: -6.7019 eV/atom
# - Relative energy among the computed polymorphs: 0 meV per atom
# - DOS(E_F): 8.93 states/eV per cell
data_Re2Te2Pd
_cell_length_a 3.6537
_cell_length_b 3.6537
_cell_length_c 15.7643
_cell_angle_alpha 90.00
_cell_angle_beta 90.00
_cell_angle_gamma 90.00
_symmetry_space_group_name_H-M 'I 4/m m m'
_symmetry_Int_Tables_number 139
_symmetry_space_group_name_Hall '-I 4 2'
loop_
_atom_site_label
_atom_site_type_symbol
_atom_site_fract_x
_atom_site_fract_y
_atom_site_fract_z
_atom_site_occupancy
Re1 Re 0.0000 0.5000 0.2500 1
Te1 Te 0.0000 0.0000 0.1108 1
Pd1 Pd 0.0000 0.0000 0.5000 1

Q: Number 4 is which compound?
A: Re2Te2Pd

Q: Which of these has the highest energy?
A: CaS2I

Q: The lowest energy belongs to which entry?
A: Re2Te2Pd